Record 1
# SiNiN (GGA-PBE, relaxed)
data_SiNiN
_chemical_formula_sum 'Si2 Ni2 N2'
_symmetry_space_group_name_H-M 'P m m n'
_symmetry_Int_Tables_number 59
_cell_length_a 2.821
_cell_length_b 4.047
_cell_length_c 5.065
_cell_angle_alpha 90.00
_cell_angle_beta 90.00
_cell_angle_gamma 90.00
loop_
_symmetry_equiv_pos_as_xyz
'x,y,z'
'-x,-y,-z'
'-x+1/2,-y+1/2,z'
'x+1/2,y+1/2,-z'
'x+1/2,-y,-z'
'-x+1/2,y,z'
'-x,y+1/2,-z'
'x,-y+1/2,z'
loop_
_atom_site_label
_atom_site_type_symbol
_atom_site_fract_x
_atom_site_fract_y
_atom_site_fract_z
Si1 Si 0.250 0.250 0.150
Ni1 Ni 0.250 0.750 0.471
N1 N 0.250 0.750 0.075
# Formation energy from raw total energies (eV per atom): -0.317
# Calculated density (Mg/m³): 5.8
# VASP energy (eV per cell): -40.96
# Total moment (μB/atom): 0.000


Record 2
# Mg2AlAu (GGA-PBE, relaxed)
data_Mg2AlAu
_chemical_formula_sum 'Mg4 Al2 Au2'
_symmetry_space_group_name_H-M 'I -4 m 2'
_symmetry_Int_Tables_number 119
_symmetry_space_group_name_Hall 'I -4 -2'
_cell_length_a 4.187
_cell_length_b 4.187
_cell_length_c 8.429
_cell_angle_alpha 90.00
_cell_angle_beta 90.00
_cell_angle_gamma 90.00
loop_
_atom_site_label
_atom_site_type_symbol
_atom_site_fract_x
_atom_site_fract_y
_atom_site_fract_z
Mg1 Mg 0.000 0.000 0.000
Mg2 Mg 0.000 0.500 0.250
Al1 Al 0.000 0.500 0.750
Au1 Au 0.000 0.000 0.500
# Calculated density (Mg/m³): 6.1
# VASP energy (eV per cell): -22.48
# Energy of formation (eV per atom): -0.258
# Total moment (μB/atom): 0.000


Record 3
# SrBrCl2 (GGA-PBE, relaxed)
data_SrBrCl2
_chemical_formula_sum 'Sr4 Br4 Cl8'
_symmetry_space_group_name_H-M 'I -4 2 d'
_symmetry_Int_Tables_number 122
_symmetry_space_group_name_Hall 'I -4 2bw'
_cell_length_a 9.858
_cell_length_b 9.858
_cell_length_c 6.279
_cell_angle_alpha 90.00
_cell_angle_beta 90.00
_cell_angle_gamma 90.00
loop_
_atom_site_label
_atom_site_type_symbol
_atom_site_fract_x
_atom_site_fract_y
_atom_site_fract_z
Sr1 Sr 0.000 0.000 0.000
Br1 Br 0.000 0.000 0.500
Cl1 Cl 0.124 0.250 0.125
# Relative energy among the computed polymorphs (meV/atom): 147
# Formation energy from raw total energies (eV per atom): -1.488
# Calculated density (Mg/m³): 2.6
# VASP energy (eV per cell): -52.01
# Total moment (μB/atom): 0.250


Record 4
# Th7Te2Ru2 (GGA-PBE, relaxed)
data_Th7Te2Ru2
_chemical_formula_sum 'Th14 Te4 Ru4'
_symmetry_space_group_name_H-M 'C 1 2/m 1'
_symmetry_Int_Tables_number 12
_symmetry_space_group_name_Hall '-C 2y'
_cell_length_a 8.390
_cell_length_b 11.700
_cell_length_c 8.123
_cell_angle_alpha 90.00
_cell_angle_beta 102.86
_cell_angle_gamma 90.00
loop_
_atom_site_label
_atom_site_type_symbol
_atom_site_fract_x
_atom_site_fract_y
_atom_site_fract_z
Th1 Th 0.000 0.000 0.000
Th2 Th 0.085 0.500 0.806
Th3 Th 0.194 0.273 0.197
Te1 Te 0.000 0.303 0.500
Ru1 Ru 0.235 0.500 0.156
# Formation energy from raw total energies (eV per atom): -0.209
# Calculated density (Mg/m³): 8.9
# VASP energy (eV per cell): -158.14
# Total moment (μB/atom): 0.000


Record 5
# Nd4BiIr (GGA-PBE, relaxed)
data_Nd4BiIr
_chemical_formula_sum 'Nd16 Bi4 Ir4'
_symmetry_space_group_name_H-M 'C 1 2/c 1'
_symmetry_Int_Tables_number 15
_symmetry_space_group_name_Hall '-C 2yc'
_cell_length_a 16.437
_cell_length_b 6.030
_cell_length_c 8.006
_cell_angle_alpha 90.00
_cell_angle_beta 106.01
_cell_angle_gamma 90.00
loop_
_atom_site_label
_atom_site_type_symbol
_atom_site_fract_x
_atom_site_fract_y
_atom_site_fract_z
Nd1 Nd 0.079 0.141 0.445
Nd2 Nd 0.184 0.371 0.144
Bi1 Bi 0.000 0.368 0.750
Ir1 Ir 0.250 0.250 0.500
# Calculated density (Mg/m³): 8.5
# VASP energy (eV per cell): -139.03
# Energy of formation (eV per atom): -0.491
# Total moment (μB/atom): 0.000


Record 6
# CePu2ThP4 (GGA-PBE, relaxed)
data_CePu2ThP4
_chemical_formula_sum 'Ce1 Pu2 Th1 P4'
_symmetry_space_group_name_H-M 'P 1 2/m 1'
_symmetry_Int_Tables_number 10
_symmetry_space_group_name_Hall '-P 2y'
_cell_length_a 7.007
_cell_length_b 4.078
_cell_length_c 7.061
_cell_angle_alpha 90.00
_cell_angle_beta 109.64
_cell_angle_gamma 90.00
loop_
_atom_site_label
_atom_site_type_symbol
_atom_site_fract_x
_atom_site_fract_y
_atom_site_fract_z
Ce1 Ce 0.000 0.000 0.000
Pu1 Pu 0.500 0.000 0.500
Pu2 Pu 0.500 0.500 0.000
Th1 Th 0.000 0.500 0.500
P1 P 0.258 0.500 0.251
P2 P 0.259 0.000 0.755
# Calculated density (Mg/m³): 8.6
# VASP energy (eV per cell): -74.52
# Energy of formation (eV per atom): -1.358
# Total moment (μB/atom): 1.373


Record 7
# FeCoSN2 (GGA-PBE, relaxed)
data_FeCoSN2
_chemical_formula_sum 'Fe1 Co1 S1 N2'
_symmetry_space_group_name_H-M 'P 4/m m m'
_symmetry_Int_Tables_number 123
_symmetry_space_group_name_Hall '-P 4 2'
_cell_length_a 3.427
_cell_length_b 3.427
_cell_length_c 6.668
_cell_angle_alpha 90.00
_cell_angle_beta 90.00
_cell_angle_gamma 90.00
loop_
_atom_site_label
_atom_site_type_symbol
_atom_site_fract_x
_atom_site_fract_y
_atom_site_fract_z
Fe1 Fe 0.000 0.000 0.000
Co1 Co 0.500 0.500 0.500
S1 S 0.500 0.500 0.000
N1 N 0.000 0.500 0.500
# Relative energy among the computed polymorphs (meV/atom): 115
# Formation energy from raw total energies (eV per atom): 1.009
# Calculated density (Mg/m³): 3.7
# VASP energy (eV per cell): -31.30
# Total moment (μB/atom): 0.644


Record 8
# Pr3DyPt8 (GGA-PBE, relaxed)
data_Pr3DyPt8
_chemical_formula_sum 'Pr9 Dy3 Pt24'
_symmetry_space_group_name_H-M 'R 3 m'
_symmetry_Int_Tables_number 160
_symmetry_space_group_name_Hall 'R 3 -2"'
_cell_length_a 5.5119
_cell_length_b 5.5119
_cell_length_c 27.0220
_cell_angle_alpha 90.00
_cell_angle_beta 90.00
_cell_angle_gamma 120.00
loop_
_atom_site_label
_atom_site_type_symbol
_atom_site_fract_x
_atom_site_fract_y
_atom_site_fract_z
Pr1 Pr 0.0000 0.0000 0.0000
Pr2 Pr 0.0000 0.0000 0.1257
Pr3 Pr 0.0000 0.0000 0.5016
Dy1 Dy 0.0000 0.0000 0.6261
Pt1 Pt 0.0000 0.0000 0.3130
Pt2 Pt 0.0000 0.0000 0.8132
Pt3 Pt 0.0004 0.5002 0.5641
Pt4 Pt 0.1675 0.3349 0.3957
# Calculated density (Mg/m³): 15.0
# VASP energy (eV per cell): -239.93
# Energy of formation (eV per atom): -1.059
# Total moment (μB/atom): 0.000


The lowest VASP energy belongs to which entry? Pr3DyPt8